The following is a GGA+U calculation of an optimized crystal structure of WIO2, from Alexandria.

E	-5.717	eV per atom
DOS(E_F)	11.8	states/eV/cell
magnetization	1.0	μB/f.u.

Cell lengths 6.2286, 6.2286, 8.8419 Å; angles 90.00, 90.00, 90.00 degrees
Space group I4_1/amd (No. 141, origin choice 2)
Asymmetric unit:
W  0.0000  0.2500  0.3750 [4 per cell]
I  0.0000  0.2500  0.8750 [4 per cell]
O  0.0000  0.0000  0.5000 [8 per cell]